1.
A plane-wave DFT calculation with GGA-PBE was carried out for crystalline Na4U3GeN8 at its relaxed geometry.

Structure (CIF):
```
data_Na4U3GeN8
_symmetry_space_group_name_H-M 'R -3 m'
_symmetry_Int_Tables_number 166
_symmetry_space_group_name_Hall '-R 3 2"'
_cell_length_a 6.9680
_cell_length_b 6.9680
_cell_length_c 16.8580
_cell_angle_alpha 90.00
_cell_angle_beta 90.00
_cell_angle_gamma 120.00
loop_
_atom_site_label
_atom_site_type_symbol
_atom_site_fract_x
_atom_site_fract_y
_atom_site_fract_z
_atom_site_occupancy
Na1 Na 0.0000 0.0000 0.0000 1
Na2 Na 0.0000 0.5000 0.0000 1
U1 U 0.0000 0.5000 0.5000 1
Ge1 Ge 0.0000 0.0000 0.5000 1
N1 N 0.0000 0.0000 0.2306 1
N2 N 0.0341 0.5171 0.7727 1
```

Values from the calculation:
- VASP energy: -7.68 eV per atom
- Total magnetization: 0.00 μB/atom
- Formation energy (no corrections): -12.45 eV/f.u.


2.
A plane-wave DFT calculation with GGA-PBE was carried out for crystalline HfScMnTc at its relaxed geometry.

Structure (CIF):
```
data_HfScMnTc
_symmetry_space_group_name_H-M 'F -4 3 m'
_symmetry_Int_Tables_number 216
_symmetry_space_group_name_Hall 'F -4 2 3'
_cell_length_a 6.492
_cell_length_b 6.492
_cell_length_c 6.492
_cell_angle_alpha 90.00
_cell_angle_beta 90.00
_cell_angle_gamma 90.00
loop_
_atom_site_label
_atom_site_type_symbol
_atom_site_fract_x
_atom_site_fract_y
_atom_site_fract_z
_atom_site_occupancy
Hf1 Hf 0.000 0.000 0.000 1
Sc1 Sc 0.000 0.000 0.500 1
Mn1 Mn 0.250 0.250 0.250 1
Tc1 Tc 0.250 0.250 0.750 1
```

Values from the calculation:
- VASP energy: -9.12 eV per atom
- Total magnetization: 0.59 μB/atom
- Formation energy from the elements: -168.1 meV per atom


3.
A plane-wave DFT calculation with GGA-PBE was carried out for crystalline In2Cl2F at its relaxed geometry.

Structure (CIF):
```
data_In2Cl2F
_symmetry_space_group_name_H-M 'P 4/m b m'
_symmetry_Int_Tables_number 127
_symmetry_space_group_name_Hall '-P 4 2ab'
_cell_length_a 6.909
_cell_length_b 6.909
_cell_length_c 4.732
_cell_angle_alpha 90.00
_cell_angle_beta 90.00
_cell_angle_gamma 90.00
loop_
_atom_site_label
_atom_site_type_symbol
_atom_site_fract_x
_atom_site_fract_y
_atom_site_fract_z
_atom_site_occupancy
In1 In 0.157 0.343 0.000 1
Cl1 Cl 0.217 0.717 0.500 1
F1 F 0.000 0.000 0.000 1
```

Values from the calculation:
- VASP energy: -3.28 eV per atom
- Total magnetization: 0.00 μB/atom
- Formation energy (no corrections): -5.38 eV/f.u.


4.
A plane-wave DFT calculation with GGA-PBE was carried out for crystalline KAuBr at its relaxed geometry.

Structure (CIF):
```
data_KAuBr
_symmetry_space_group_name_H-M 'P 4/n m m'
_symmetry_Int_Tables_number 129
_cell_length_a 6.375
_cell_length_b 6.375
_cell_length_c 5.394
_cell_angle_alpha 90.00
_cell_angle_beta 90.00
_cell_angle_gamma 90.00
loop_
_symmetry_equiv_pos_as_xyz
'x,y,z'
'-x,-y,-z'
'-y+1/2,x,z'
'y+1/2,-x,-z'
'-x+1/2,-y+1/2,z'
'x+1/2,y+1/2,-z'
'y,-x+1/2,z'
'-y,x+1/2,-z'
'x+1/2,-y,-z'
'-x+1/2,y,z'
'-y,-x,-z'
'y,x,z'
'-x,y+1/2,-z'
'x,-y+1/2,z'
'y+1/2,x+1/2,-z'
'-y+1/2,-x+1/2,z'
loop_
_atom_site_label
_atom_site_type_symbol
_atom_site_fract_x
_atom_site_fract_y
_atom_site_fract_z
_atom_site_occupancy
K1 K 0.250 0.750 0.000 1
Au1 Au 0.250 0.250 0.286 1
Br1 Br 0.250 0.250 0.779 1
```

Values from the calculation:
- VASP energy: -2.64 eV per atom
- Total magnetization: 0.00 μB/atom
- Formation energy (no corrections): -1.88 eV/f.u.


5.
A plane-wave DFT calculation with GGA-PBE was carried out for crystalline La2TmZn3 at its relaxed geometry.

Structure (CIF):
```
data_La2TmZn3
_symmetry_space_group_name_H-M 'P 4/m m m'
_symmetry_Int_Tables_number 123
_symmetry_space_group_name_Hall '-P 4 2'
_cell_length_a 3.645
_cell_length_b 3.645
_cell_length_c 11.243
_cell_angle_alpha 90.00
_cell_angle_beta 90.00
_cell_angle_gamma 90.00
loop_
_atom_site_label
_atom_site_type_symbol
_atom_site_fract_x
_atom_site_fract_y
_atom_site_fract_z
_atom_site_occupancy
La1 La 0.000 0.000 0.175 1
Tm1 Tm 0.000 0.000 0.500 1
Zn1 Zn 0.500 0.500 0.000 1
Zn2 Zn 0.500 0.500 0.357 1
```

Values from the calculation:
- VASP energy: -3.34 eV per atom
- Total magnetization: 0.00 μB/atom
- Formation energy from the elements: -310.4 meV per atom


6.
A plane-wave DFT calculation with GGA-PBE was carried out for crystalline La2Mg2Sc at its relaxed geometry.

Structure (CIF):
```
data_La2Mg2Sc
_symmetry_space_group_name_H-M 'P 4/m b m'
_symmetry_Int_Tables_number 127
_symmetry_space_group_name_Hall '-P 4 2ab'
_cell_length_a 9.160
_cell_length_b 9.160
_cell_length_c 3.640
_cell_angle_alpha 90.00
_cell_angle_beta 90.00
_cell_angle_gamma 90.00
loop_
_atom_site_label
_atom_site_type_symbol
_atom_site_fract_x
_atom_site_fract_y
_atom_site_fract_z
_atom_site_occupancy
La1 La 0.177 0.323 0.000 1
Mg1 Mg 0.120 0.620 0.500 1
Sc1 Sc 0.000 0.000 0.500 1
```

Values from the calculation:
- VASP energy: -3.77 eV per atom
- Total magnetization: 0.00 μB/atom
- Formation energy from the elements: 108.8 meV per atom